A relaxed PrCoNO crystal, computed with PBE with a Hubbard U.

The structure in CIF format:
```
data_PrCoNO
_chemical_formula_sum 'Pr2 Co2 N2 O2'
_symmetry_space_group_name_H-M 'P m c 21'
_symmetry_Int_Tables_number 26
_symmetry_space_group_name_Hall 'P 2c -2'
_cell_length_a 3.773
_cell_length_b 6.012
_cell_length_c 5.330
_cell_angle_alpha 90.00
_cell_angle_beta 90.00
_cell_angle_gamma 90.00
loop_
_atom_site_label
_atom_site_fract_x
_atom_site_fract_y
_atom_site_fract_z
Pr1 0.000 0.216 0.000
Co1 0.500 0.293 0.510
N1 0.000 0.178 0.471
O1 0.500 0.397 0.873
```

Summary:
**Volume**: 15.11 Å³/atom
**Excess energy over the best structure of this formula in the dataset**: 1.98 kJ/mol of atoms
**Total DFT energy (no corrections)**: -27.90 eV/f.u.